# 1
An optimized crystal structure of Co2OsC, computed with PBE-GGA.

The structure belongs to space group I-42d (No. 122); the cell edges are 6.164, 6.164 and 4.451 Å and the angles 90.00°, 90.00° and 90.00°. The distinct sites, in fractional coordinates, are Co at (0.153, 0.250, 0.125), Os at (0.000, 0.000, 0.500) and C at (0.000, 0.000, 0.000).

Its density of states at the Fermi level is 15.03 states/eV per cell. As for the formation energy: 0.5138 eV per atom.


# 2
An optimized crystal structure of CoP2OsC, computed with PBE-GGA.

The structure belongs to space group P4/mmm (No. 123); the cell edges are 4.084, 4.084 and 3.845 Å and the angles 90.00°, 90.00° and 90.00°. The distinct sites, in fractional coordinates, are Co at (0.000, 0.000, 0.000), P at (0.000, 0.500, 0.500), Os at (0.500, 0.500, 0.000) and C at (0.500, 0.500, 0.500).

Its density of states at the Fermi level is 4.04 states/eV per cell. As for the formation energy: 1.1618 eV per atom.


# 3
An optimized crystal structure of CoRe2OsC, computed with PBE-GGA.

The structure belongs to space group P4/mmm (No. 123); the cell edges are 4.048, 4.048 and 3.826 Å and the angles 90.00°, 90.00° and 90.00°. The distinct sites, in fractional coordinates, are Co at (0.000, 0.000, 0.000), Re at (0.000, 0.500, 0.500), Os at (0.500, 0.500, 0.000) and C at (0.000, 0.000, 0.500).

Its density of states at the Fermi level is 5.36 states/eV per cell. As for the formation energy: 0.4013 eV per atom.


# 4
An optimized crystal structure of CoOs2RuC, computed with PBE-GGA.

The structure belongs to space group P4/mmm (No. 123); the cell edges are 4.358, 4.358 and 4.435 Å and the angles 90.00°, 90.00° and 90.00°. The distinct sites, in fractional coordinates, are Co at (0.000, 0.000, 0.000), Os at (0.000, 0.500, 0.000), Ru at (0.000, 0.000, 0.500) and C at (0.500, 0.500, 0.500).

Its density of states at the Fermi level is 7.38 states/eV per cell. As for the formation energy: 3.0091 eV per atom.